BaMn2Os | PBE-GGA | optimized geometry

Properties
* volume: 67.3 Å³/f.u.
* offset from the most stable computed form: 1029 meV/atom

a b c (Å): 6.457 6.457 6.457
angles (deg): 90.00 90.00 90.00
Space group Fm-3m (No. 225)
Unique sites:
1 Ba 0.000 0.000 0.000 (multiplicity 4)
2 Mn 0.250 0.250 0.250 (multiplicity 8)
3 Os 0.000 0.000 0.500 (multiplicity 4)


ZrSc2AgGe | PBE-GGA | optimized geometry

Properties
* volume: 136.1 Å³/f.u.
* electronic total energy: -0.175 Ha/atom

a b c (Å): 5.141 5.141 5.151
angles (deg): 90.00 90.00 90.00
Space group P4/mmm (No. 123)
Unique sites:
1 Zr 0.000 0.000 0.000 (multiplicity 1)
2 Sc 0.000 0.500 0.000 (multiplicity 2)
3 Ag 0.000 0.000 0.500 (multiplicity 1)
4 Ge 0.500 0.500 0.500 (multiplicity 1)


CaHoSi2Pt5 | PBE-GGA | optimized geometry

Properties
* volume: 186.8 Å³/f.u.
* electronic total energy: -0.228 Ha/atom

a b c (Å): 4.059 4.059 11.333
angles (deg): 90.00 90.00 90.00
Space group P4/mmm (No. 123)
Unique sites:
1 Ca 0.000 0.000 0.000 (multiplicity 1)
2 Ho 0.000 0.000 0.500 (multiplicity 1)
3 Si 0.500 0.500 0.206 (multiplicity 2)
4 Pt 0.000 0.500 0.315 (multiplicity 4)
5 Pt 0.500 0.500 0.000 (multiplicity 1)


La2SnPd3 | PBE-GGA | optimized geometry

Properties
* volume: 145.4 Å³/f.u.
* electronic total energy: -0.209 Ha/atom

a b c (Å): 7.759 9.527 15.731
angles (deg): 90.00 90.00 90.00
Space group Fmmm (No. 69)
Unique sites:
1 La 0.242 0.000 0.000 (multiplicity 8)
2 La 0.250 0.250 0.250 (multiplicity 8)
3 Sn 0.000 0.000 0.330 (multiplicity 8)
4 Pd 0.000 0.000 0.161 (multiplicity 8)
5 Pd 0.000 0.242 0.414 (multiplicity 16)


Cd3ICl | PBE-GGA | optimized geometry

Properties
* volume: 180.6 Å³/f.u.
* offset from the most stable computed form: 0 meV/atom

a b c (Å): 5.652 5.652 5.652
angles (deg): 90.00 90.00 90.00
Space group Pm-3m (No. 221)
Unique sites:
1 Cd 0.000 0.000 0.500 (multiplicity 3)
2 I 0.500 0.500 0.500 (multiplicity 1)
3 Cl 0.000 0.000 0.000 (multiplicity 1)


BeInRh2 | PBE-GGA | optimized geometry

Properties
* volume: 59.1 Å³/f.u.
* electronic total energy: -0.202 Ha/atom

a b c (Å): 3.566 2.894 11.454
angles (deg): 90.00 90.00 90.00
Space group Amm2 (No. 38)
Unique sites:
1 Be 0.000 0.000 0.000 (multiplicity 2)
2 In 0.500 0.000 0.177 (multiplicity 2)
3 Rh 0.000 0.000 0.807 (multiplicity 2)
4 Rh 0.500 0.000 0.463 (multiplicity 2)


MgNi2Sb | PBE-GGA | optimized geometry

Properties
* volume: 59.0 Å³/f.u.
* electronic total energy: -0.168 Ha/atom

a b c (Å): 6.178 6.178 6.178
angles (deg): 90.00 90.00 90.00
Space group Fm-3m (No. 225)
Unique sites:
1 Mg 0.000 0.000 0.000 (multiplicity 4)
2 Ni 0.250 0.250 0.250 (multiplicity 8)
3 Sb 0.000 0.000 0.500 (multiplicity 4)


ZnHgRu2 | PBE-GGA | optimized geometry

Properties
* volume: 62.6 Å³/f.u.
* offset from the most stable computed form: 276 meV/atom

a b c (Å): 2.963 4.572 9.240
angles (deg): 90.00 90.00 90.00
Space group Immm (No. 71)
Unique sites:
1 Zn 0.000 0.000 0.000 (multiplicity 2)
2 Hg 0.000 0.000 0.500 (multiplicity 2)
3 Ru 0.000 0.500 0.274 (multiplicity 4)